1.
Crystalline SmHg4H2 at its relaxed geometry, computed with PBE.

Computed properties:
As for the total energy: -1.664 eV per atom. The density of states at the Fermi level is 4.599 states/eV per cell.

The structure in CIF format:
```
data_SmHg4H2
_space_group_name_H-M_alt 'C m m m'
_space_group_IT_number 65
_space_group_name_Hall '-C 2 2'
_cell_length_a 4.749
_cell_length_b 16.991
_cell_length_c 3.362
_cell_angle_alpha 90.00
_cell_angle_beta 90.00
_cell_angle_gamma 90.00
loop_
_atom_site_label
_atom_site_fract_x
_atom_site_fract_y
_atom_site_fract_z
Sm1 0.000 0.000 0.000
Hg1 0.000 0.188 0.000
Hg2 0.000 0.393 0.500
H1 0.000 0.272 0.500
```

=====

2.
Crystalline Sm6Hg3H at its relaxed geometry, computed with PBE.

Computed properties:
As for the total energy: -3.523 eV per atom. The density of states at the Fermi level is 20.591 states/eV per cell.

The structure in CIF format:
```
data_Sm6Hg3H
_space_group_name_H-M_alt 'P 1 21/c 1'
_space_group_IT_number 14
_space_group_name_Hall '-P 2ybc'
_cell_length_a 6.558
_cell_length_b 8.285
_cell_length_c 11.781
_cell_angle_alpha 90.00
_cell_angle_beta 120.21
_cell_angle_gamma 90.00
loop_
_atom_site_label
_atom_site_fract_x
_atom_site_fract_y
_atom_site_fract_z
Sm1 0.065 0.061 0.231
Sm2 0.182 0.717 0.066
Sm3 0.396 0.146 0.049
Hg1 0.318 0.115 0.728
Hg2 0.500 0.000 0.500
H1 0.000 0.000 0.000
```

=====

3.
Crystalline SmHgH at its relaxed geometry, computed with PBE.

Computed properties:
For the distance to the lowest polymorph of the same formula, the calculation gives 0.1993 eV per atom. The density of states at the Fermi level is 6.364 states/eV per cell.

The structure in CIF format:
```
data_SmHgH
_space_group_name_H-M_alt 'C 1 2/m 1'
_space_group_IT_number 12
_space_group_name_Hall '-C 2y'
_cell_length_a 9.942
_cell_length_b 3.792
_cell_length_c 6.974
_cell_angle_alpha 90.00
_cell_angle_beta 90.28
_cell_angle_gamma 90.00
loop_
_atom_site_label
_atom_site_fract_x
_atom_site_fract_y
_atom_site_fract_z
Sm1 0.161 0.000 0.176
Hg1 0.122 0.000 0.626
H1 0.163 0.500 0.019
```

=====

4.
Crystalline SmHgH at its relaxed geometry, computed with PBE.

Computed properties:
For the distance to the lowest polymorph of the same formula, the calculation gives 0.1490 eV per atom. The density of states at the Fermi level is 2.383 states/eV per cell.

The structure in CIF format:
```
data_SmHgH
_space_group_name_H-M_alt 'P 3 m 1'
_space_group_IT_number 156
_space_group_name_Hall 'P 3 -2"'
_cell_length_a 3.8955
_cell_length_b 3.8955
_cell_length_c 4.7258
_cell_angle_alpha 90.00
_cell_angle_beta 90.00
_cell_angle_gamma 120.00
loop_
_atom_site_label
_atom_site_fract_x
_atom_site_fract_y
_atom_site_fract_z
Sm1 0.0000 0.0000 0.0000
Hg1 0.3333 0.6667 0.4999
H1 0.6667 0.3333 0.0011
```

=====

5.
Crystalline Sm4Hg2H at its relaxed geometry, computed with PBE.

Computed properties:
For the distance to the lowest polymorph of the same formula, the calculation gives 0.0000 eV per atom. The density of states at the Fermi level is 13.841 states/eV per cell.

The structure in CIF format:
```
data_Sm4Hg2H
_space_group_name_H-M_alt 'P 1 21/m 1'
_space_group_IT_number 11
_space_group_name_Hall '-P 2yb'
_cell_length_a 6.989
_cell_length_b 6.909
_cell_length_c 8.049
_cell_angle_alpha 90.00
_cell_angle_beta 105.75
_cell_angle_gamma 90.00
loop_
_atom_site_label
_atom_site_fract_x
_atom_site_fract_y
_atom_site_fract_z
Sm1 0.036 0.007 0.270
Sm2 0.380 0.750 0.077
Sm3 0.415 0.750 0.617
Hg1 0.230 0.250 0.028
Hg2 0.263 0.250 0.598
H1 0.205 0.750 0.794
```

=====

6.
Crystalline Sm4Hg2H at its relaxed geometry, computed with PBE.

Computed properties:
For the distance to the lowest polymorph of the same formula, the calculation gives 0.0313 eV per atom. The density of states at the Fermi level is 9.813 states/eV per cell.

The structure in CIF format:
```
data_Sm4Hg2H
_space_group_name_H-M_alt 'I 4/m m m'
_space_group_IT_number 139
_space_group_name_Hall '-I 4 2'
_cell_length_a 4.806
_cell_length_b 4.806
_cell_length_c 15.864
_cell_angle_alpha 90.00
_cell_angle_beta 90.00
_cell_angle_gamma 90.00
loop_
_atom_site_label
_atom_site_fract_x
_atom_site_fract_y
_atom_site_fract_z
Sm1 0.000 0.000 0.181
Sm2 0.000 0.500 0.000
Hg1 0.000 0.000 0.368
H1 0.000 0.000 0.000
```

=====

7.
Crystalline SmHgH at its relaxed geometry, computed with PBE.

Computed properties:
For the distance to the lowest polymorph of the same formula, the calculation gives 0.3592 eV per atom. The density of states at the Fermi level is 4.838 states/eV per cell.

The structure in CIF format:
```
data_SmHgH
_space_group_name_H-M_alt 'I 4 m m'
_space_group_IT_number 107
_space_group_name_Hall 'I 4 -2'
_cell_length_a 3.317
_cell_length_b 3.317
_cell_length_c 11.093
_cell_angle_alpha 90.00
_cell_angle_beta 90.00
_cell_angle_gamma 90.00
loop_
_atom_site_label
_atom_site_fract_x
_atom_site_fract_y
_atom_site_fract_z
Sm1 0.000 0.000 0.000
Hg1 0.000 0.000 0.713
H1 0.000 0.000 0.455
```

=====

8.
Crystalline Sm2HgH2 at its relaxed geometry, computed with PBE.

Computed properties:
As for the total energy: -3.901 eV per atom. The density of states at the Fermi level is 5.466 states/eV per cell.

The structure in CIF format:
```
data_Sm2HgH2
_space_group_name_H-M_alt 'I 4/m m m'
_space_group_IT_number 139
_space_group_name_Hall '-I 4 2'
_cell_length_a 3.864
_cell_length_b 3.864
_cell_length_c 12.358
_cell_angle_alpha 90.00
_cell_angle_beta 90.00
_cell_angle_gamma 90.00
loop_
_atom_site_label
_atom_site_fract_x
_atom_site_fract_y
_atom_site_fract_z
Sm1 0.000 0.000 0.149
Hg1 0.000 0.000 0.500
H1 0.000 0.500 0.250
```